[1]
# LaTbCdAu PBE relaxed
# **Excess energy over the best structure of this formula in the dataset**: 0.046 eV/atom
# **Crystal system**: cubic
data_LaTbCdAu
_chemical_formula_sum 'La4 Tb4 Cd4 Au4'
_cell_length_a 7.5469
_cell_length_b 7.5469
_cell_length_c 7.5469
_cell_angle_alpha 90.00
_cell_angle_beta 90.00
_cell_angle_gamma 90.00
_space_group_name_H-M_alt 'F -4 3 m'
_space_group_IT_number 216
_space_group_name_Hall 'F -4 2 3'
loop_
_atom_site_label
_atom_site_fract_x
_atom_site_fract_y
_atom_site_fract_z
La1 0.0000 0.0000 0.0000
Tb1 0.0000 0.0000 0.5000
Cd1 0.2500 0.2500 0.7500
Au1 0.2500 0.2500 0.2500

***

[2]
# Ac8CuTe4As3 PBE relaxed
# **Crystal system**: trigonal
# **Formation energy without anion corrections**: -1.340 eV per atom
data_Ac8CuTe4As3
_chemical_formula_sum 'Ac24 Cu3 Te12 As9'
_cell_length_a 9.2084
_cell_length_b 9.2084
_cell_length_c 23.0968
_cell_angle_alpha 90.00
_cell_angle_beta 90.00
_cell_angle_gamma 120.00
_space_group_name_H-M_alt 'R -3 m'
_space_group_IT_number 166
_space_group_name_Hall '-R 3 2"'
loop_
_atom_site_label
_atom_site_fract_x
_atom_site_fract_y
_atom_site_fract_z
Ac1 0.0000 0.0000 0.2412
Ac2 0.0013 0.5006 0.2418
Cu1 0.0000 0.0000 0.5000
Te1 0.0000 0.0000 0.0000
Te2 0.0000 0.5000 0.0000
As1 0.0000 0.5000 0.5000

***

[3]
# Ba2AlTl PBE relaxed
# **Excess energy over the best structure of this formula in the dataset**: 0.003 eV/atom
# **Crystal system**: monoclinic
data_Ba2AlTl
_chemical_formula_sum 'Ba4 Al2 Tl2'
_cell_length_a 12.8751
_cell_length_b 4.3193
_cell_length_c 5.8403
_cell_angle_alpha 90.00
_cell_angle_beta 116.91
_cell_angle_gamma 90.00
_space_group_name_H-M_alt 'C 1 m 1'
_space_group_IT_number 8
loop_
_space_group_symop_operation_xyz
'x,y,z'
'x,-y,z'
'x+1/2,y+1/2,z'
'x+1/2,-y+1/2,z'
loop_
_atom_site_label
_atom_site_fract_x
_atom_site_fract_y
_atom_site_fract_z
Ba1 0.0000 0.0000 0.0000
Ba2 0.1925 0.0000 0.6924
Al1 0.2614 0.5000 0.2604
Tl1 0.4213 0.0000 0.4220

***

[4]
# LiTc2Cl PBE relaxed
# **Excess energy over the best structure of this formula in the dataset**: 0.455 eV/atom
# **Crystal system**: monoclinic
# **Formation energy without anion corrections**: 0.270 eV per atom
data_LiTc2Cl
_chemical_formula_sum 'Li2 Tc4 Cl2'
_cell_length_a 4.8077
_cell_length_b 15.4087
_cell_length_c 3.3890
_cell_angle_alpha 90.00
_cell_angle_beta 134.51
_cell_angle_gamma 90.00
_space_group_name_H-M_alt 'C 1 2/m 1'
_space_group_IT_number 12
loop_
_space_group_symop_operation_xyz
'x,y,z'
'-x,-y,-z'
'-x,y,-z'
'x,-y,z'
'x+1/2,y+1/2,z'
'-x+1/2,-y+1/2,-z'
'-x+1/2,y+1/2,-z'
'x+1/2,-y+1/2,z'
loop_
_atom_site_label
_atom_site_fract_x
_atom_site_fract_y
_atom_site_fract_z
Li1 0.0000 0.0000 0.0000
Tc1 0.2500 0.2500 0.5000
Cl1 0.0000 0.5000 0.0000

***

[5]
# PrHfSn2 PBE relaxed
# **Excess energy over the best structure of this formula in the dataset**: 0.000 eV/atom
# **Crystal system**: tetragonal
data_PrHfSn2
_chemical_formula_sum 'Pr1 Hf1 Sn2'
_cell_length_a 3.9091
_cell_length_b 3.9091
_cell_length_c 6.7515
_cell_angle_alpha 90.00
_cell_angle_beta 90.00
_cell_angle_gamma 90.00
_space_group_name_H-M_alt 'P 4/m m m'
_space_group_IT_number 123
_space_group_name_Hall '-P 4 2'
loop_
_atom_site_label
_atom_site_fract_x
_atom_site_fract_y
_atom_site_fract_z
Pr1 0.0000 0.0000 0.0000
Hf1 0.0000 0.0000 0.5000
Sn1 0.5000 0.5000 0.2833

***

[6]
# Zr2ScRh PBE relaxed
# **Crystal system**: tetragonal
# **Final energy**: -7.9643 eV/atom
data_Zr2ScRh
_chemical_formula_sum 'Zr2 Sc1 Rh1'
_cell_length_a 4.8313
_cell_length_b 4.8313
_cell_length_c 3.3820
_cell_angle_alpha 90.00
_cell_angle_beta 90.00
_cell_angle_gamma 90.00
_space_group_name_H-M_alt 'P 4/m m m'
_space_group_IT_number 123
_space_group_name_Hall '-P 4 2'
loop_
_atom_site_label
_atom_site_fract_x
_atom_site_fract_y
_atom_site_fract_z
Zr1 0.0000 0.5000 0.0000
Sc1 0.0000 0.0000 0.5000
Rh1 0.5000 0.5000 0.5000

***

[7]
# AcZnInAg3 PBE relaxed
# **Crystal system**: orthorhombic
# **Final energy**: -2.8951 eV/atom
data_AcZnInAg3
_chemical_formula_sum 'Ac4 Zn4 In4 Ag12'
_cell_length_a 6.4056
_cell_length_b 13.0232
_cell_length_c 6.8893
_cell_angle_alpha 90.00
_cell_angle_beta 90.00
_cell_angle_gamma 90.00
_space_group_name_H-M_alt 'C m c m'
_space_group_IT_number 63
_space_group_name_Hall '-C 2c 2'
loop_
_atom_site_label
_atom_site_fract_x
_atom_site_fract_y
_atom_site_fract_z
Ac1 0.0000 0.2048 0.2500
Zn1 0.0000 0.4413 0.2500
In1 0.0000 0.1385 0.7500
Ag1 0.0000 0.3538 0.7500
Ag2 0.2242 0.0000 0.0000

***

[8]
# W2SeBr PBE relaxed
# **Excess energy over the best structure of this formula in the dataset**: 0.228 eV/atom
# **Crystal system**: monoclinic
# **Formation energy without anion corrections**: 0.369 eV per atom
data_W2SeBr
_chemical_formula_sum 'W4 Se2 Br2'
_cell_length_a 8.2497
_cell_length_b 3.2604
_cell_length_c 7.8561
_cell_angle_alpha 90.00
_cell_angle_beta 99.08
_cell_angle_gamma 90.00
_space_group_name_H-M_alt 'C 1 m 1'
_space_group_IT_number 8
loop_
_space_group_symop_operation_xyz
'x,y,z'
'x,-y,z'
'x+1/2,y+1/2,z'
'x+1/2,-y+1/2,z'
loop_
_atom_site_label
_atom_site_fract_x
_atom_site_fract_y
_atom_site_fract_z
W1 0.0000 0.0000 0.0000
W2 0.1835 0.5000 0.8610
Se1 0.3847 0.0000 0.7253
Br1 0.0520 0.0000 0.3104

***

[9]
# LiIn2Tc PBE relaxed
# **Excess energy over the best structure of this formula in the dataset**: 0.050 eV/atom
# **Crystal system**: cubic
data_LiIn2Tc
_chemical_formula_sum 'Li4 In8 Tc4'
_cell_length_a 6.5662
_cell_length_b 6.5662
_cell_length_c 6.5662
_cell_angle_alpha 90.00
_cell_angle_beta 90.00
_cell_angle_gamma 90.00
_space_group_name_H-M_alt 'F m -3 m'
_space_group_IT_number 225
_space_group_name_Hall '-F 4 2 3'
loop_
_atom_site_label
_atom_site_fract_x
_atom_site_fract_y
_atom_site_fract_z
Li1 0.0000 0.0000 0.0000
In1 0.2500 0.2500 0.2500
Tc1 0.0000 0.0000 0.5000

***

[10]
# GaSnP2O PBE relaxed
# **Excess energy over the best structure of this formula in the dataset**: 0.000 eV/atom
# **Crystal system**: tetragonal
# **Formation energy without anion corrections**: 0.128 eV per atom
data_GaSnP2O
_chemical_formula_sum 'Ga1 Sn1 P2 O1'
_cell_length_a 4.9300
_cell_length_b 4.9300
_cell_length_c 3.6852
_cell_angle_alpha 90.00
_cell_angle_beta 90.00
_cell_angle_gamma 90.00
_space_group_name_H-M_alt 'P 4/m m m'
_space_group_IT_number 123
_space_group_name_Hall '-P 4 2'
loop_
_atom_site_label
_atom_site_fract_x
_atom_site_fract_y
_atom_site_fract_z
Ga1 0.0000 0.0000 0.0000
Sn1 0.5000 0.5000 0.5000
P1 0.0000 0.5000 0.0000
O1 0.0000 0.0000 0.5000

***

[11]
# BaTlI2N PBE relaxed
# **Excess energy over the best structure of this formula in the dataset**: 0.087 eV/atom
# **Crystal system**: tetragonal
# **Formation energy without anion corrections**: -0.054 eV per atom
data_BaTlI2N
_chemical_formula_sum 'Ba1 Tl1 I2 N1'
_cell_length_a 6.3892
_cell_length_b 6.3892
_cell_length_c 4.2894
_cell_angle_alpha 90.00
_cell_angle_beta 90.00
_cell_angle_gamma 90.00
_space_group_name_H-M_alt 'P 4/m m m'
_space_group_IT_number 123
_space_group_name_Hall '-P 4 2'
loop_
_atom_site_label
_atom_site_fract_x
_atom_site_fract_y
_atom_site_fract_z
Ba1 0.0000 0.0000 0.0000
Tl1 0.5000 0.5000 0.5000
I1 0.0000 0.5000 0.5000
N1 0.5000 0.5000 0.0000

***

[12]
# HgPtS2 PBE relaxed
# **Crystal system**: trigonal
# **Formation energy without anion corrections**: -0.260 eV per atom
data_HgPtS2
_chemical_formula_sum 'Hg1 Pt1 S2'
_cell_length_a 3.5731
_cell_length_b 3.5731
_cell_length_c 9.0898
_cell_angle_alpha 90.00
_cell_angle_beta 90.00
_cell_angle_gamma 120.00
_space_group_name_H-M_alt 'P 3 m 1'
_space_group_IT_number 156
loop_
_space_group_symop_operation_xyz
'x,y,z'
'-y,x-y,z'
'-x+y,-x,z'
'-y,-x,z'
'-x+y,y,z'
'x,x-y,z'
loop_
_atom_site_label
_atom_site_fract_x
_atom_site_fract_y
_atom_site_fract_z
Hg1 0.0000 0.0000 0.0000
Pt1 0.6667 0.3333 0.5266
S1 0.0000 0.0000 0.3908
S2 0.3333 0.6667 0.6626